No. 1
Here is crystalline Ag4Pb at its relaxed geometry from the Alexandria database. Energies are from GGA-PBE.

Calculated values
Excess energy over the best structure of this formula in the dataset (eV/atom): 0.000
E (eV/atom): -2.9392
DFT formation energy (eV/atom): 0.083
Mass density (g/cm³): 10.589
Crystal system: tetragonal

abc: 5.253 5.253 5.253
angles: 100.11 100.11 130.45
Positions (direct):
1 Ag 0.807 0.406 0.213
2 Ag 0.406 0.193 0.599
3 Ag 0.193 0.594 0.787
4 Ag 0.594 0.807 0.401
5 Pb 0.000 0.000 0.000



No. 2
Here is crystalline AgPb5 at its relaxed geometry from the Alexandria database. Energies are from GGA-PBE.

Calculated values
Excess energy over the best structure of this formula in the dataset (eV/atom): 0.293
E (eV/atom): -3.2422
DFT formation energy (eV/atom): 0.323
Mass density (g/cm³): 9.358
Crystal system: hexagonal

abc: 6.351 6.351 5.811
angles: 90.00 90.00 120.00
Positions (direct):
1 Ag 0.000 0.000 0.000
2 Pb 0.667 0.333 0.000
3 Pb 0.333 0.667 0.000
4 Pb 0.000 0.500 0.500
5 Pb 0.500 0.500 0.500
6 Pb 0.500 0.000 0.500



No. 3
Here is crystalline Ag4Pb5 at its relaxed geometry from the Alexandria database. Energies are from GGA-PBE.

Calculated values
Excess energy over the best structure of this formula in the dataset (eV/atom): 0.009
E (eV/atom): -3.2021
DFT formation energy (eV/atom): 0.125
Mass density (g/cm³): 10.690
Crystal system: tetragonal

abc: 7.228 7.228 7.228
angles: 96.70 96.70 140.04
Positions (direct):
1 Ag 0.353 0.000 0.353
2 Ag 0.647 0.000 0.647
3 Ag 0.000 0.353 0.353
4 Ag 0.000 0.647 0.647
5 Pb 0.000 0.000 0.000
6 Pb 0.326 0.326 0.653
7 Pb 0.674 0.674 0.347
8 Pb 0.674 0.326 0.000
9 Pb 0.326 0.674 0.000



No. 4
Here is crystalline Ag7Pb6 at its relaxed geometry from the Alexandria database. Energies are from GGA-PBE.

Calculated values
E (eV/atom): -3.1879
DFT formation energy (eV/atom): 0.059
Mass density (g/cm³): 10.726
Crystal system: trigonal

abc: 11.055 11.055 11.055
angles: 30.54 30.54 30.54
Positions (direct):
1 Pb 0.051 0.051 0.051
2 Pb 0.949 0.949 0.949
3 Pb 0.154 0.154 0.154
4 Pb 0.846 0.846 0.846
5 Pb 0.332 0.332 0.332
6 Pb 0.668 0.668 0.668
7 Ag 0.591 0.092 0.591
8 Ag 0.591 0.591 0.092
9 Ag 0.092 0.591 0.591
10 Ag 0.409 0.908 0.409
11 Ag 0.908 0.409 0.409
12 Ag 0.409 0.409 0.908
13 Ag 0.500 0.500 0.500



No. 5
Here is crystalline AgPb4 at its relaxed geometry from the Alexandria database. Energies are from GGA-PBE.

Calculated values
Excess energy over the best structure of this formula in the dataset (eV/atom): 0.295
E (eV/atom): -3.1950
DFT formation energy (eV/atom): 0.342
Mass density (g/cm³): 9.192
Crystal system: cubic

abc: 5.531 5.531 5.531
angles: 90.00 90.00 90.00
Positions (direct):
1 Pb 0.000 0.000 0.000
2 Pb 0.500 0.000 0.500
3 Pb 0.000 0.500 0.500
4 Pb 0.500 0.500 0.000
5 Ag 0.500 0.500 0.500



No. 6
Here is crystalline AgPb5 at its relaxed geometry from the Alexandria database. Energies are from GGA-PBE.

Calculated values
Excess energy over the best structure of this formula in the dataset (eV/atom): 0.246
E (eV/atom): -3.2887
DFT formation energy (eV/atom): 0.277
Mass density (g/cm³): 9.883
Crystal system: cubic

abc: 6.478 6.478 6.478
angles: 60.00 60.00 60.00
Positions (direct):
1 Ag 0.000 0.000 0.000
2 Pb 0.250 0.250 0.250
3 Pb 0.625 0.625 0.625
4 Pb 0.625 0.625 0.124
5 Pb 0.124 0.625 0.625
6 Pb 0.625 0.124 0.625



> Look up the DFT formation energy of the fifth one.

0.342 eV/atom



> Which of these has the lowest DFT formation energy?

Ag7Pb6